VASP calculation (PBEsol) on a relaxed structure of KCu3P3O8F6.

Calculated values
SG: No. 15
raw total energy: -5.9787 eV per atom
ΔE_f (raw): -1.9278 eV per atom

Structure (POSCAR):
```
KCu3P3O8F6
1.0
-4.4054 1.2878 -6.1557
-1.8276 -7.4795 -0.2568
-4.5533 2.9369 8.6621
K Cu P O F
2 6 6 16 12
direct
0.6795 0.7500 0.0000
0.3205 0.2500 0.0000
0.8644 0.1829 0.6730
0.1914 0.3171 0.3270
0.1356 0.8171 0.3270
0.8086 0.6829 0.6730
0.5000 0.0000 0.5000
0.0000 0.5000 0.5000
0.8721 0.2500 0.0000
0.1279 0.7500 0.0000
0.8512 0.0911 0.3478
0.5035 0.4089 0.6522
0.1488 0.9089 0.6522
0.4965 0.5911 0.3478
0.9104 0.2922 0.8771
0.0333 0.2078 0.1229
0.0896 0.7078 0.1229
0.9667 0.7922 0.8771
0.7961 0.0608 0.4692
0.3268 0.4392 0.5308
0.2039 0.9392 0.5308
0.6732 0.5608 0.4692
0.9003 0.9275 0.2616
0.6387 0.5725 0.7384
0.0997 0.0725 0.7384
0.3613 0.4275 0.2616
0.9919 0.2546 0.3918
0.6001 0.2454 0.6082
0.0081 0.7454 0.6082
0.3999 0.7546 0.3918
0.6635 0.1390 0.2291
0.4345 0.3610 0.7709
0.3365 0.8610 0.7709
0.5655 0.6390 0.2291
0.9785 0.4270 0.6589
0.3195 0.0730 0.3411
0.0215 0.5730 0.3411
0.6805 0.9270 0.6589
0.7633 0.4025 0.0542
0.7091 0.0975 0.9458
0.2367 0.5975 0.9458
0.2909 0.9025 0.0542
```